ZnGaI2N: optimized geometry, PBE-GGA.

a b c (Å): 5.8215 5.8215 3.7093
angles (deg): 90.00 90.00 90.00
Last column: nearest neighbours and their distance in Å.
Fractional positions:
Zn  0.0000  0.0000  0.0000  8 I 3.45, 2 Zn 3.71
Ga  0.5000  0.5000  0.5000  2 N 1.85
I  0.0000  0.5000  0.5000  2 Ga 2.91
I  0.5000  0.0000  0.5000  2 Ga 2.91
N  0.5000  0.5000  0.0000  2 Ga 1.85

Output
The raw formation energy is 525 meV/atom. The space group is No. 123. The total magnetization is 0.989 μB/f.u.